# 1
## Br4Cl (PBE)

Data for an optimized crystal structure of Br4Cl.

As for the total magnetic moment: 0.000 μB per atom. The energy above the most stable polymorph in this dataset comes out at 0.0 meV per atom. Its theoretical density is 2.8 Mg/m³. The calculation puts the formation energy from raw total energies at 1.39 kcal/mol of atoms. The crystal system is triclinic.

The structure belongs to space group P-1 (No. 2); the cell edges are 4.823, 8.685 and 10.120 Å and the angles 95.47°, 93.98° and 99.63°. The distinct sites, in fractional coordinates, are Br at (0.012, 0.226, 0.002), Br at (0.118, 0.705, 0.391), Br at (0.164, 0.931, 0.824), Br at (0.429, 0.779, 0.593) and Cl at (0.202, 0.381, 0.826).


# 2
## BrCl5 (PBE)

Data for an optimized crystal structure of BrCl5.

As for the total magnetic moment: 0.000 μB per atom. The energy above the most stable polymorph in this dataset comes out at 0.0 meV per atom. Its theoretical density is 1.8 Mg/m³. The calculation puts the formation energy from raw total energies at 0.74 kcal/mol of atoms. The crystal system is triclinic.

The structure belongs to space group P1 (No. 1); the cell edges are 4.484, 4.815 and 11.646 Å and the angles 95.80°, 95.85° and 106.85°. The distinct sites, in fractional coordinates, are Br at (0.000, 0.000, 0.000), Cl at (0.163, 0.484, 0.016), Cl at (0.331, 0.691, 0.666), Cl at (0.499, 0.130, 0.681), Cl at (0.664, 0.361, 0.339) and Cl at (0.832, 0.800, 0.354).


# 3
## BrCl (PBE)

Data for an optimized crystal structure of BrCl.

As for the total magnetic moment: 0.000 μB per atom. The energy above the most stable polymorph in this dataset comes out at 587.0 meV per atom. Its theoretical density is 3.6 Mg/m³. The calculation puts the formation energy from raw total energies at 12.90 kcal/mol of atoms. The crystal system is cubic.

The structure belongs to space group Fm-3m (No. 225); the cell edges are 5.963, 5.963 and 5.963 Å and the angles 90.00°, 90.00° and 90.00°. The distinct sites, in fractional coordinates, are Br at (0.000, 0.000, 0.000) and Cl at (0.000, 0.000, 0.500).


# 4
## BrCl2 (PBE)

Data for an optimized crystal structure of BrCl2.

As for the total magnetic moment: 0.005 μB per atom. The energy above the most stable polymorph in this dataset comes out at 581.3 meV per atom. Its theoretical density is 3.2 Mg/m³. The calculation puts the formation energy from raw total energies at 14.57 kcal/mol of atoms. The crystal system is hexagonal.

The structure belongs to space group P6_3/mmc (No. 194); the cell edges are 4.6379, 4.6379 and 8.2776 Å and the angles 90.00°, 90.00° and 120.00°. The distinct sites, in fractional coordinates, are Br at (0.3333, 0.6667, 0.2500), Cl at (0.0000, 0.0000, 0.0000) and Cl at (0.3333, 0.6667, 0.7500).